No. 1
Below is a relaxed Re2TcOs crystal, with properties calculated at the PBE level. Values from VASP.

```
&SYSTEM
  ibrav = 0, nat = 12, ntyp = 3
/
ATOMIC_SPECIES
Re 186.21 Re.upf
Tc 98.00 Tc.upf
Os 190.23 Os.upf
CELL_PARAMETERS angstrom
2.749 0.000 0.000
-1.374 2.380 0.000
0.000 0.000 27.083
ATOMIC_POSITIONS crystal
Re 0.000 0.000 0.000
Re 0.000 0.000 0.248
Re 0.333 0.667 0.667
Re 0.333 0.667 0.914
Re 0.667 0.333 0.333
Re 0.667 0.333 0.581
Tc 0.000 0.000 0.748
Tc 0.333 0.667 0.415
Tc 0.667 0.333 0.081
Os 0.000 0.000 0.500
Os 0.333 0.667 0.166
Os 0.667 0.333 0.833
```

Values from the calculation:
VASP energy = -138.8 eV/cell
energy above the most stable polymorph in this dataset = 77 meV per atom
density = 18.6 g/cm³
space-group type = No. 160
E_form = 0.059 eV per atom

---

No. 2
Below is a relaxed Re6TcOs2 crystal, with properties calculated at the PBE level. Values from VASP.

```
&SYSTEM
  ibrav = 0, nat = 18, ntyp = 3
/
ATOMIC_SPECIES
Re 186.21 Re.upf
Tc 98.00 Tc.upf
Os 190.23 Os.upf
CELL_PARAMETERS angstrom
6.463 -3.260 0.000
6.463 3.260 0.000
-6.238 0.000 6.468
ATOMIC_POSITIONS crystal
Re 0.047 0.129 0.199
Re 0.114 0.335 0.577
Re 0.129 0.047 0.699
Re 0.140 0.547 0.988
Re 0.335 0.114 0.077
Re 0.453 0.860 0.512
Re 0.547 0.140 0.488
Re 0.665 0.886 0.923
Re 0.860 0.453 0.012
Re 0.871 0.953 0.301
Re 0.886 0.665 0.423
Re 0.953 0.871 0.801
Tc 0.387 0.613 0.750
Tc 0.613 0.387 0.250
Os 0.262 0.552 0.374
Os 0.448 0.738 0.126
Os 0.552 0.262 0.874
Os 0.738 0.448 0.626
```

Values from the calculation:
VASP energy = -212.2 eV/cell
density = 19.4 g/cm³
space-group type = No. 15
E_form = 0.156 eV per atom